Compound: MnNb2Mo8
Source: the Alexandria database
Functional: PBE
Structure: optimized geometry

For the energy of formation from the pure elements, the calculation gives -0.14 eV/f.u. The calculation puts the raw total energy at -10.554 eV per atom. For the density of states at the Fermi level, the calculation gives 8.43 states/eV per cell.

The space group is P-1 (No. 2) and the conventional cell measures 3.1808, 7.0738 and 8.2401 Å, with angles of 105.09, 101.11 and 90.10 degrees. Symmetry generates all atoms from Mn at (0.0000, 0.0000, 0.0000), Nb at (0.2746, 0.3607, 0.5493), Mo at (0.0877, 0.4461, 0.1756), Mo at (0.1783, 0.9099, 0.3567), Mo at (0.3666, 0.8256, 0.7343) and Mo at (0.4567, 0.2717, 0.9128).